Record 1
This record from Alexandria describes a geometry-optimized SrCdInHg structure. The functional is PBE.

Cell and atoms, written as POSCAR:
```
SrCdInHg
1.0
7.5857 0.0000 0.0000
0.0000 7.5857 0.0000
0.0000 0.0000 7.5857
Sr Cd In Hg
4 4 4 4
Direct
0.0000 0.0000 0.0000
0.0000 0.5000 0.5000
0.5000 0.0000 0.5000
0.5000 0.5000 0.0000
0.2500 0.2500 0.7500
0.2500 0.7500 0.2500
0.7500 0.2500 0.2500
0.7500 0.7500 0.7500
0.0000 0.0000 0.5000
0.0000 0.5000 0.0000
0.5000 0.0000 0.0000
0.5000 0.5000 0.5000
0.2500 0.2500 0.2500
0.2500 0.7500 0.7500
0.7500 0.2500 0.7500
0.7500 0.7500 0.2500
```

Computed properties:
**Size of the total moment**: 0.000 μB per atom
**Calculated density**: 7.84 g cm⁻³
**DOS at the Fermi energy**: 0.56 states/eV/atom
**Formation enthalpy at 0 K**: -0.33 eV per atom

Record 2
This record from Alexandria describes a geometry-optimized SrCdInHg2 structure. The functional is PBE.

Cell and atoms, written as POSCAR:
```
SrCdInHg2
1.0
6.1021 0.0000 0.0000
0.0000 6.8799 0.0000
0.0000 0.0000 6.6327
Sr Cd In Hg
2 2 2 4
Direct
0.2500 0.0000 0.2246
0.7500 0.0000 0.7754
0.0000 0.5000 0.0000
0.5000 0.5000 0.0000
0.2500 0.5000 0.3944
0.7500 0.5000 0.6056
0.2500 0.2186 0.7273
0.2500 0.7814 0.7273
0.7500 0.2186 0.2727
0.7500 0.7814 0.2727
```

Computed properties:
**Size of the total moment**: 0.000 μB per atom
**Calculated density**: 8.54 g cm⁻³
**DOS at the Fermi energy**: 0.50 states/eV/atom
**Formation enthalpy at 0 K**: -0.28 eV per atom

Record 3
This record from Alexandria describes a geometry-optimized Sr2Cd3In4Hg structure. The functional is PBE.

Cell and atoms, written as POSCAR:
```
Sr2Cd3In4Hg
1.0
4.8573 0.0000 0.0000
0.0000 4.8573 0.0000
0.0000 0.0000 12.1149
Sr Cd In Hg
2 3 4 1
Direct
0.0000 0.5000 0.2455
0.5000 0.0000 0.7545
0.0000 0.0000 0.0000
0.0000 0.5000 0.6373
0.5000 0.0000 0.3627
0.0000 0.0000 0.5000
0.0000 0.5000 0.8666
0.5000 0.0000 0.1334
0.5000 0.5000 0.5000
0.5000 0.5000 0.0000
```

Computed properties:
**Size of the total moment**: 0.000 μB per atom
**Calculated density**: 6.81 g cm⁻³
**DOS at the Fermi energy**: 0.46 states/eV/atom
**Formation enthalpy at 0 K**: -0.27 eV per atom

Record 4
This record from Alexandria describes a geometry-optimized SrCdIn2Hg structure. The functional is PBE.

Cell and atoms, written as POSCAR:
```
SrCdIn2Hg
1.0
4.8152 0.0000 0.0000
0.0000 4.8152 0.0000
0.0000 0.0000 12.3177
Sr Cd In Hg
2 2 4 2
Direct
0.0000 0.0000 0.0000
0.5000 0.5000 0.5000
0.0000 0.5000 0.7500
0.5000 0.0000 0.2500
0.0000 0.0000 0.3853
0.0000 0.0000 0.6147
0.5000 0.5000 0.1147
0.5000 0.5000 0.8853
0.0000 0.5000 0.2500
0.5000 0.0000 0.7500
```

Computed properties:
**Size of the total moment**: 0.000 μB per atom
**Calculated density**: 7.33 g cm⁻³
**DOS at the Fermi energy**: 0.59 states/eV/atom
**Formation enthalpy at 0 K**: -0.27 eV per atom

Record 5
This record from Alexandria describes a geometry-optimized Sr2CdIn6Hg structure. The functional is PBE.

Cell and atoms, written as POSCAR:
```
Sr2CdIn6Hg
1.0
3.6470 2.1056 13.9287
-3.6470 2.1056 13.9287
0.0000 -4.2112 13.9287
Sr Cd In Hg
4 2 12 2
Direct
0.1360 0.1360 0.1360
0.3030 0.3030 0.3030
0.6970 0.6970 0.6970
0.8640 0.8640 0.8640
0.0000 0.0000 0.0000
0.5000 0.5000 0.5000
0.0626 0.6515 0.6515
0.1959 0.1959 0.7769
0.1959 0.7769 0.1959
0.2231 0.8041 0.8041
0.3485 0.3485 0.9374
0.3485 0.9374 0.3485
0.6515 0.0626 0.6515
0.6515 0.6515 0.0626
0.7769 0.1959 0.1959
0.8041 0.2231 0.8041
0.8041 0.8041 0.2231
0.9374 0.3485 0.3485
0.4210 0.4210 0.4210
0.5790 0.5790 0.5790
```

Computed properties:
**Size of the total moment**: 0.000 μB per atom
**Calculated density**: 6.09 g cm⁻³
**DOS at the Fermi energy**: 0.29 states/eV/atom
**Formation enthalpy at 0 K**: -0.08 eV per atom

Record 6
This record from Alexandria describes a geometry-optimized TaCdIn2Hg structure. The functional is PBE.

Cell and atoms, written as POSCAR:
```
TaCdIn2Hg
1.0
5.3459 0.0000 0.0000
0.0000 5.3459 0.0000
0.0000 0.0000 5.3790
Ta Cd In Hg
1 1 2 1
Direct
0.0000 0.0000 0.0000
0.5000 0.5000 0.0000
0.0000 0.5000 0.5000
0.5000 0.0000 0.5000
0.0000 0.0000 0.5000
```

Computed properties:
**Size of the total moment**: 0.365 μB per atom
**Calculated density**: 7.82 g cm⁻³
**DOS at the Fermi energy**: 1.01 states/eV/atom
**Formation enthalpy at 0 K**: 1.21 eV per atom

Record 7
This record from Alexandria describes a geometry-optimized TbCdInHg structure. The functional is PBE.

Cell and atoms, written as POSCAR:
```
TbCdInHg
1.0
4.3257 0.0000 0.0000
0.0000 4.7531 0.0000
0.0000 0.0000 4.7606
Tb Cd In Hg
1 1 1 1
Direct
0.0000 0.0000 0.0000
0.0000 0.5000 0.5000
0.5000 0.5000 0.0000
0.5000 0.0000 0.5000
```

Computed properties:
**Size of the total moment**: 0.000 μB per atom
**Polymorph energy (0 for the lowest one)**: 0 meV per atom
**Calculated density**: 9.95 g cm⁻³
**DOS at the Fermi energy**: 0.60 states/eV/atom
**Formation enthalpy at 0 K**: -0.35 eV per atom

Record 8
This record from Alexandria describes a geometry-optimized TbCd3In2Hg4 structure. The functional is PBE.

Cell and atoms, written as POSCAR:
```
TbCd3In2Hg4
1.0
4.4727 0.0000 0.0000
0.0000 4.4727 0.0000
0.0000 0.0000 13.9682
Tb Cd In Hg
1 3 2 4
Direct
0.0000 0.0000 0.0000
0.0000 0.5000 0.3533
0.5000 0.0000 0.6467
0.5000 0.5000 0.0000
0.0000 0.5000 0.7935
0.5000 0.0000 0.2065
0.0000 0.0000 0.5000
0.0000 0.5000 0.1533
0.5000 0.0000 0.8467
0.5000 0.5000 0.5000
```

Computed properties:
**Size of the total moment**: 0.000 μB per atom
**Calculated density**: 9.08 g cm⁻³
**DOS at the Fermi energy**: 0.46 states/eV/atom
**Formation enthalpy at 0 K**: 0.00 eV per atom

Record 9
This record from Alexandria describes a geometry-optimized TbCdInHg structure. The functional is PBE.

Cell and atoms, written as POSCAR:
```
TbCdInHg
1.0
7.3102 0.0000 0.0000
0.0000 7.3102 0.0000
0.0000 0.0000 7.3102
Tb Cd In Hg
4 4 4 4
Direct
0.0000 0.0000 0.0000
0.0000 0.5000 0.5000
0.5000 0.0000 0.5000
0.5000 0.5000 0.0000
0.0000 0.0000 0.5000
0.0000 0.5000 0.0000
0.5000 0.0000 0.0000
0.5000 0.5000 0.5000
0.2500 0.2500 0.2500
0.2500 0.7500 0.7500
0.7500 0.2500 0.7500
0.7500 0.7500 0.2500
0.2500 0.2500 0.7500
0.2500 0.7500 0.2500
0.7500 0.2500 0.2500
0.7500 0.7500 0.7500
```

Computed properties:
**Size of the total moment**: 0.000 μB per atom
**Polymorph energy (0 for the lowest one)**: 39 meV per atom
**Calculated density**: 9.98 g cm⁻³
**DOS at the Fermi energy**: 0.19 states/eV/atom
**Formation enthalpy at 0 K**: -0.31 eV per atom

Record 10
This record from Alexandria describes a geometry-optimized Tb2CdIn3Hg6 structure. The functional is PBE.

Cell and atoms, written as POSCAR:
```
Tb2CdIn3Hg6
1.0
4.5737 0.0000 0.0000
0.0000 4.5737 0.0000
0.0000 0.0000 19.7020
Tb Cd In Hg
2 1 3 6
Direct
0.0000 0.0000 0.2046
0.0000 0.0000 0.7954
0.0000 0.0000 0.0000
0.5000 0.5000 0.2074
0.5000 0.5000 0.5000
0.5000 0.5000 0.7926
0.0000 0.5000 0.0940
0.0000 0.5000 0.9060
0.5000 0.0000 0.0940
0.5000 0.0000 0.9060
0.5000 0.5000 0.3535
0.5000 0.5000 0.6465
```

Computed properties:
**Size of the total moment**: 0.000 μB per atom
**Calculated density**: 7.97 g cm⁻³
**DOS at the Fermi energy**: 0.60 states/eV/atom
**Formation enthalpy at 0 K**: 0.03 eV per atom

Record 11
This record from Alexandria describes a geometry-optimized Tb4Cd2InHg structure. The functional is PBE.

Cell and atoms, written as POSCAR:
```
Tb4Cd2InHg
1.0
2.6552 1.5330 8.6780
-2.6552 1.5330 8.6780
0.0000 -3.0659 8.6780
Tb Cd In Hg
4 2 1 1
Direct
0.1236 0.1236 0.1236
0.3737 0.3737 0.3737
0.6263 0.6263 0.6263
0.8764 0.8764 0.8764
0.2485 0.2485 0.2485
0.7515 0.7515 0.7515
0.5000 0.5000 0.5000
0.0000 0.0000 0.0000
```

Computed properties:
**Size of the total moment**: 0.001 μB per atom
**Calculated density**: 9.21 g cm⁻³
**DOS at the Fermi energy**: 1.14 states/eV/atom
**Formation enthalpy at 0 K**: -0.40 eV per atom

Record 12
This record from Alexandria describes a geometry-optimized Tb4CdInHg2 structure. The functional is PBE.

Cell and atoms, written as POSCAR:
```
Tb4CdInHg2
1.0
2.6535 1.5320 8.6939
-2.6535 1.5320 8.6939
0.0000 -3.0640 8.6939
Tb Cd In Hg
4 1 1 2
Direct
0.1249 0.1249 0.1249
0.3751 0.3751 0.3751
0.6249 0.6249 0.6249
0.8751 0.8751 0.8751
0.0000 0.0000 0.0000
0.5000 0.5000 0.5000
0.2531 0.2531 0.2531
0.7469 0.7469 0.7469
```

Computed properties:
**Size of the total moment**: 0.123 μB per atom
**Calculated density**: 9.90 g cm⁻³
**DOS at the Fermi energy**: 1.21 states/eV/atom
**Formation enthalpy at 0 K**: -0.43 eV per atom